(P)
Crystalline TaCoAgBi at its relaxed geometry, computed with PBE.

Output
symmetry = F-43m

The structure in extended XYZ format:
```
4
Lattice="0.0000 3.3156 3.3156 3.3156 0.0000 3.3156 3.3156 3.3156 0.0000" Properties=species:S:1:pos:R:3 pbc="T T T"
Ta 0.0000 0.0000 0.0000
Co 4.9735 4.9735 4.9735
Ag 1.6578 1.6578 1.6578
Bi 3.3156 3.3156 3.3156
```

(Q)
Crystalline TaCoAgBi at its relaxed geometry, computed with PBE.

Output
symmetry = F-43m

The structure in extended XYZ format:
```
4
Lattice="0.0000 3.2951 3.2951 3.2951 0.0000 3.2951 3.2951 3.2951 0.0000" Properties=species:S:1:pos:R:3 pbc="T T T"
Ta 0.0000 0.0000 0.0000
Co 3.2951 3.2951 3.2951
Ag 4.9427 4.9427 4.9427
Bi 1.6476 1.6476 1.6476
```

Which is most stable? The ranking, best first, is (P), (Q).